No. 1
# Pm3Al7Pd2, relaxed, DFT PBE
# Density of states at the Fermi level in states/eV/atom: 0.51
# Energy relative to the elements in eV/atom: -0.687
data_Pm3Al7Pd2
_cell_length_a 5.5913
_cell_length_b 5.5913
_cell_length_c 26.3436
_cell_angle_alpha 90.00
_cell_angle_beta 90.00
_cell_angle_gamma 120.00
_symmetry_space_group_name_H-M 'R -3 m'
_symmetry_Int_Tables_number 166
_symmetry_space_group_name_Hall '-R 3 2"'
loop_
_atom_site_label
_atom_site_type_symbol
_atom_site_fract_x
_atom_site_fract_y
_atom_site_fract_z
_atom_site_occupancy
Pm1 Pm 0.0000 0.0000 0.0000 1
Pm2 Pm 0.0000 0.0000 0.1436 1
Al1 Al 0.0000 0.0000 0.5000 1
Al2 Al 0.0070 0.5035 0.9213 1
Pd1 Pd 0.0000 0.0000 0.3362 1

No. 2
# Pm3AlPd3, relaxed, DFT PBE
# Density of states at the Fermi level in states/eV/atom: 0.78
# Energy relative to the elements in eV/atom: -0.798
# Energy relative to the lowest polymorph listed for this composition in meV per atom: 0.0
data_Pm3AlPd3
_cell_length_a 4.166
_cell_length_b 10.700
_cell_length_c 14.456
_cell_angle_alpha 90.00
_cell_angle_beta 90.00
_cell_angle_gamma 90.00
_symmetry_space_group_name_H-M 'C m c m'
_symmetry_Int_Tables_number 63
_symmetry_space_group_name_Hall '-C 2c 2'
loop_
_atom_site_label
_atom_site_type_symbol
_atom_site_fract_x
_atom_site_fract_y
_atom_site_fract_z
_atom_site_occupancy
Pm1 Pm 0.000 0.007 0.250 1
Pm2 Pm 0.000 0.286 0.103 1
Al1 Al 0.000 0.000 0.000 1
Pd1 Pd 0.000 0.275 0.750 1
Pd2 Pd 0.000 0.428 0.590 1

No. 3
# Pm2AlPd2, relaxed, DFT PBE
# Density of states at the Fermi level in states/eV/atom: 0.68
# Energy relative to the elements in eV/atom: -0.803
# Energy relative to the lowest polymorph listed for this composition in meV per atom: 0.0
data_Pm2AlPd2
_cell_length_a 4.409
_cell_length_b 5.729
_cell_length_c 8.830
_cell_angle_alpha 90.00
_cell_angle_beta 90.00
_cell_angle_gamma 90.00
_symmetry_space_group_name_H-M 'I m m m'
_symmetry_Int_Tables_number 71
_symmetry_space_group_name_Hall '-I 2 2'
loop_
_atom_site_label
_atom_site_type_symbol
_atom_site_fract_x
_atom_site_fract_y
_atom_site_fract_z
_atom_site_occupancy
Pm1 Pm 0.000 0.000 0.201 1
Al1 Al 0.000 0.500 0.000 1
Pd1 Pd 0.000 0.257 0.500 1

No. 4
# PmAl3Pd, relaxed, DFT PBE
# Density of states at the Fermi level in states/eV/atom: 0.49
# Energy relative to the elements in eV/atom: -0.701
# Energy relative to the lowest polymorph listed for this composition in meV per atom: 0.0
data_PmAl3Pd
_cell_length_a 6.085
_cell_length_b 6.091
_cell_length_c 6.153
_cell_angle_alpha 90.00
_cell_angle_beta 119.59
_cell_angle_gamma 90.00
_symmetry_space_group_name_H-M 'C 1 m 1'
_symmetry_Int_Tables_number 8
loop_
_symmetry_equiv_pos_as_xyz
'x,y,z'
'x,-y,z'
'x+1/2,y+1/2,z'
'x+1/2,-y+1/2,z'
loop_
_atom_site_label
_atom_site_type_symbol
_atom_site_fract_x
_atom_site_fract_y
_atom_site_fract_z
_atom_site_occupancy
Pm1 Pm 0.000 0.000 0.000 1
Al1 Al 0.087 0.500 0.175 1
Al2 Al 0.491 0.250 0.484 1
Pd1 Pd 0.358 0.000 0.718 1

No. 5
# Pm2Al2Pd, relaxed, DFT PBE
# Density of states at the Fermi level in states/eV/atom: 1.02
# Energy relative to the elements in eV/atom: -0.607
# Energy relative to the lowest polymorph listed for this composition in meV per atom: 26.7
data_Pm2Al2Pd
_cell_length_a 10.643
_cell_length_b 4.624
_cell_length_c 10.795
_cell_angle_alpha 90.00
_cell_angle_beta 118.06
_cell_angle_gamma 90.00
_symmetry_space_group_name_H-M 'C 1 2/m 1'
_symmetry_Int_Tables_number 12
loop_
_symmetry_equiv_pos_as_xyz
'x,y,z'
'-x,-y,-z'
'-x,y,-z'
'x,-y,z'
'x+1/2,y+1/2,z'
'-x+1/2,-y+1/2,-z'
'-x+1/2,y+1/2,-z'
'x+1/2,-y+1/2,z'
loop_
_atom_site_label
_atom_site_type_symbol
_atom_site_fract_x
_atom_site_fract_y
_atom_site_fract_z
_atom_site_occupancy
Pm1 Pm 0.079 0.000 0.390 1
Pm2 Pm 0.173 0.500 0.179 1
Al1 Al 0.094 0.000 0.945 1
Al2 Al 0.126 0.500 0.617 1
Pd1 Pd 0.134 0.500 0.859 1

No. 6
# Pm2Al6Pd9, relaxed, DFT PBE
# Density of states at the Fermi level in states/eV/atom: 0.44
# Energy relative to the elements in eV/atom: -0.754
data_Pm2Al6Pd9
_cell_length_a 5.6082
_cell_length_b 5.6082
_cell_length_c 11.8698
_cell_angle_alpha 90.00
_cell_angle_beta 90.00
_cell_angle_gamma 120.00
_symmetry_space_group_name_H-M 'P 6/m m m'
_symmetry_Int_Tables_number 191
_symmetry_space_group_name_Hall '-P 6 2'
loop_
_atom_site_label
_atom_site_type_symbol
_atom_site_fract_x
_atom_site_fract_y
_atom_site_fract_z
_atom_site_occupancy
Pm1 Pm 0.0000 0.0000 0.1947 1
Al1 Al 0.3333 0.6667 0.1637 1
Al2 Al 0.3333 0.6667 0.5000 1
Pd1 Pd 0.0000 0.5000 0.0000 1
Pd2 Pd 0.0000 0.5000 0.3313 1

No. 7
# PmAlPd2, relaxed, DFT PBE
# Density of states at the Fermi level in states/eV/atom: 0.64
# Energy relative to the elements in eV/atom: -0.643
data_PmAlPd2
_cell_length_a 4.716
_cell_length_b 4.716
_cell_length_c 3.441
_cell_angle_alpha 90.00
_cell_angle_beta 90.00
_cell_angle_gamma 90.00
_symmetry_space_group_name_H-M 'P 4/m m m'
_symmetry_Int_Tables_number 123
_symmetry_space_group_name_Hall '-P 4 2'
loop_
_atom_site_label
_atom_site_type_symbol
_atom_site_fract_x
_atom_site_fract_y
_atom_site_fract_z
_atom_site_occupancy
Pm1 Pm 0.000 0.000 0.000 1
Al1 Al 0.500 0.500 0.000 1
Pd1 Pd 0.000 0.500 0.500 1

No. 8
# Pm3AlPd2, relaxed, DFT PBE
# Density of states at the Fermi level in states/eV/atom: 0.58
# Energy relative to the elements in eV/atom: -0.630
data_Pm3AlPd2
_cell_length_a 3.599
_cell_length_b 3.599
_cell_length_c 11.140
_cell_angle_alpha 90.00
_cell_angle_beta 90.00
_cell_angle_gamma 90.00
_symmetry_space_group_name_H-M 'P 4/m m m'
_symmetry_Int_Tables_number 123
_symmetry_space_group_name_Hall '-P 4 2'
loop_
_atom_site_label
_atom_site_type_symbol
_atom_site_fract_x
_atom_site_fract_y
_atom_site_fract_z
_atom_site_occupancy
Pm1 Pm 0.000 0.000 0.000 1
Pm2 Pm 0.000 0.000 0.324 1
Al1 Al 0.500 0.500 0.500 1
Pd1 Pd 0.500 0.500 0.162 1

No. 9
# Pm2Al3Pd2, relaxed, DFT PBE
# Density of states at the Fermi level in states/eV/atom: 0.58
# Energy relative to the elements in eV/atom: -0.755
data_Pm2Al3Pd2
_cell_length_a 10.557
_cell_length_b 4.328
_cell_length_c 7.045
_cell_angle_alpha 90.00
_cell_angle_beta 116.75
_cell_angle_gamma 90.00
_symmetry_space_group_name_H-M 'C 1 2/m 1'
_symmetry_Int_Tables_number 12
loop_
_symmetry_equiv_pos_as_xyz
'x,y,z'
'-x,-y,-z'
'-x,y,-z'
'x,-y,z'
'x+1/2,y+1/2,z'
'-x+1/2,-y+1/2,-z'
'-x+1/2,y+1/2,-z'
'x+1/2,-y+1/2,z'
loop_
_atom_site_label
_atom_site_type_symbol
_atom_site_fract_x
_atom_site_fract_y
_atom_site_fract_z
_atom_site_occupancy
Pm1 Pm 0.145 0.000 0.276 1
Al1 Al 0.000 0.500 0.500 1
Al2 Al 0.132 0.500 0.936 1
Pd1 Pd 0.135 0.000 0.719 1

No. 10
# Pm8Al2Pd, relaxed, DFT PBE
# Density of states at the Fermi level in states/eV/atom: 0.98
# Energy relative to the elements in eV/atom: -0.255
# Energy relative to the lowest polymorph listed for this composition in meV per atom: 0.0
data_Pm8Al2Pd
_cell_length_a 18.864
_cell_length_b 5.130
_cell_length_c 6.835
_cell_angle_alpha 90.00
_cell_angle_beta 102.47
_cell_angle_gamma 90.00
_symmetry_space_group_name_H-M 'C 1 2/m 1'
_symmetry_Int_Tables_number 12
loop_
_symmetry_equiv_pos_as_xyz
'x,y,z'
'-x,-y,-z'
'-x,y,-z'
'x,-y,z'
'x+1/2,y+1/2,z'
'-x+1/2,-y+1/2,-z'
'-x+1/2,y+1/2,-z'
'x+1/2,-y+1/2,z'
loop_
_atom_site_label
_atom_site_type_symbol
_atom_site_fract_x
_atom_site_fract_y
_atom_site_fract_z
_atom_site_occupancy
Pm1 Pm 0.021 0.000 0.274 1
Pm2 Pm 0.094 0.500 0.962 1
Pm3 Pm 0.153 0.500 0.472 1
Pm4 Pm 0.208 0.000 0.801 1
Al1 Al 0.188 0.000 0.249 1
Pd1 Pd 0.000 0.500 0.500 1

No. 11
# Pm2Al3Pd5, relaxed, DFT PBE
# Density of states at the Fermi level in states/eV/atom: 0.56
# Energy relative to the elements in eV/atom: -0.836
data_Pm2Al3Pd5
_cell_length_a 10.740
_cell_length_b 12.071
_cell_length_c 5.879
_cell_angle_alpha 90.00
_cell_angle_beta 90.00
_cell_angle_gamma 90.00
_symmetry_space_group_name_H-M 'I b a m'
_symmetry_Int_Tables_number 72
_symmetry_space_group_name_Hall '-I 2 2c'
loop_
_atom_site_label
_atom_site_type_symbol
_atom_site_fract_x
_atom_site_fract_y
_atom_site_fract_z
_atom_site_occupancy
Pm1 Pm 0.226 0.139 0.000 1
Al1 Al 0.000 0.500 0.250 1
Al2 Al 0.099 0.142 0.500 1
Pd1 Pd 0.000 0.000 0.250 1
Pd2 Pd 0.000 0.284 0.250 1
Pd3 Pd 0.175 0.408 0.000 1

No. 12
# Pm2AlPd3, relaxed, DFT PBE
# Density of states at the Fermi level in states/eV/atom: 0.84
# Energy relative to the elements in eV/atom: -0.824
# Energy relative to the lowest polymorph listed for this composition in meV per atom: 0.0
data_Pm2AlPd3
_cell_length_a 5.6823
_cell_length_b 5.6823
_cell_length_c 8.4651
_cell_angle_alpha 90.00
_cell_angle_beta 90.00
_cell_angle_gamma 120.00
_symmetry_space_group_name_H-M 'P 63/m m c'
_symmetry_Int_Tables_number 194
_symmetry_space_group_name_Hall '-P 6c 2c'
loop_
_atom_site_label
_atom_site_type_symbol
_atom_site_fract_x
_atom_site_fract_y
_atom_site_fract_z
_atom_site_occupancy
Pm1 Pm 0.3333 0.6667 0.0583 1
Al1 Al 0.0000 0.0000 0.0000 1
Pd1 Pd 0.1667 0.3335 0.7500 1

Q: energy relative to the elements of number 9 (Pm2Al3Pd2)?
A: -0.755 eV/atom

Q: Which value of density of states at the Fermi level does entry 3 give?
A: 0.68 states/eV/atom

Q: Which of these has the lowest density of states at the Fermi level?
A: Pm2Al6Pd9

Q: The lowest energy relative to the elements belongs to which entry?
A: Pm2Al3Pd5